VASP calculation (PBE-GGA) on an optimized crystal structure of Nd2TlI8.

Its volume is 48.01 Å³ per atom. As for the mass density: 4.7 g/cm3. The total energy is -35.98 eV per formula unit. The formation energy (no corrections) comes out at -1062 meV per atom.

It has space group C2/m (No. 12), with a = 13.160 Å, b = 9.962 Å, c = 8.285 Å, α = 90.00°, β = 103.50° and γ = 90.00°. Symmetry generates all atoms from Nd at (0.195, 0.000, 0.441), Tl at (0.000, 0.500, 0.000), I at (0.066, 0.000, 0.720), I at (0.125, 0.310, 0.356) and I at (0.241, 0.500, 0.894).

VASP calculation (PBE-GGA) on an optimized crystal structure of Cd2SiHg.

Its volume is 22.96 Å³ per atom. As for the mass density: 8.2 g/cm3. The calculation puts the energy above the most stable polymorph in this dataset at 0.017 eV per atom. The total energy is -6.50 eV per formula unit. The formation energy (no corrections) comes out at 263 meV per atom.

It has space group Immm (No. 71), with a = 2.906 Å, b = 5.041 Å, c = 12.539 Å, α = 90.00°, β = 90.00° and γ = 90.00°. Symmetry generates all atoms from Cd at (0.000, 0.000, 0.207), Si at (0.000, 0.500, 0.500) and Hg at (0.000, 0.500, 0.000).

VASP calculation (PBE-GGA) on an optimized crystal structure of CrN.

Its volume is 11.23 Å³ per atom. As for the mass density: 4.9 g/cm3. The total energy is -18.90 eV per formula unit. The formation energy (no corrections) comes out at -477 meV per atom.

It has space group I4/m (No. 87), with a = 7.564 Å, b = 7.564 Å, c = 3.141 Å, α = 90.00°, β = 90.00° and γ = 90.00°. Symmetry generates all atoms from Cr at (0.134, 0.317, 0.000) and N at (0.099, 0.747, 0.000).

VASP calculation (PBE-GGA) on an optimized crystal structure of RbW2Br.

Its volume is 29.78 Å³ per atom. As for the mass density: 7.4 g/cm3. The calculation puts the energy above the most stable polymorph in this dataset at 0.000 eV per atom. The total energy is -21.74 eV per formula unit. The formation energy (no corrections) comes out at 1701 meV per atom.

It has space group I-42d (No. 122), with a = 4.761 Å, b = 4.761 Å, c = 21.022 Å, α = 90.00°, β = 90.00° and γ = 90.00°. Symmetry generates all atoms from Rb at (0.000, 0.000, 0.000), W at (0.028, 0.750, 0.625) and Br at (0.000, 0.000, 0.500).

VASP calculation (PBE-GGA) on an optimized crystal structure of AlZn2Ni.

Its volume is 14.06 Å³ per atom. As for the mass density: 6.4 g/cm3. The total energy is -12.31 eV per formula unit. The value obtained for the formation energy is -0.2 eV per formula unit.

It has space group R-3m (No. 166, hexagonal axes), with a = 2.7781 Å, b = 2.7781 Å, c = 25.2383 Å, α = 90.00°, β = 90.00° and γ = 120.00°. Symmetry generates all atoms from Al at (0.0000, 0.0000, 0.0000), Zn at (0.0000, 0.0000, 0.2438) and Ni at (0.0000, 0.0000, 0.5000).

VASP calculation (PBE-GGA) on an optimized crystal structure of LiGdIrRh.

Its volume is 16.99 Å³ per atom. As for the mass density: 11.2 g/cm3. The total energy is -33.65 eV per formula unit. The value obtained for the formation energy is -1.4 eV per formula unit.

It has space group F-43m (No. 216), with a = 6.478 Å, b = 6.478 Å, c = 6.478 Å, α = 90.00°, β = 90.00° and γ = 90.00°. Symmetry generates all atoms from Li at (0.000, 0.000, 0.000), Gd at (0.000, 0.000, 0.500), Ir at (0.250, 0.250, 0.250) and Rh at (0.250, 0.250, 0.750).